Here is CeTmSi2O8 after structural relaxation from the Alexandria database. Energies are from PBE-GGA.

Calculated values
SG = No. 119
ρ = 5.4 g/cm³
Total DFT energy (no corrections) = -96.5 eV for the cell shown
E_form (uncorrected) = -2.96 eV per atom

a = 5.840 Å, b = 5.840 Å, c = 5.840 Å
α = 106.64°, β = 106.64°, γ = 115.30°
Atoms (fractional coordinates):
Ce1 0.000 0.000 0.000
Tm1 0.750 0.250 0.500
Si1 0.250 0.750 0.500
Si2 0.500 0.500 0.000
O1 0.079 0.400 0.321
O2 0.079 0.758 0.679
O3 0.151 0.333 0.818
O4 0.242 0.921 0.321
O5 0.515 0.333 0.182
O6 0.600 0.921 0.679
O7 0.667 0.485 0.818
O8 0.667 0.849 0.182

=====

Here is Ce5Sm2O13 after structural relaxation from the Alexandria database. Energies are from PBE-GGA.

Calculated values
SG = No. 160
ρ = 7.0 g/cm³
Total DFT energy (no corrections) = -172.0 eV for the cell shown
E_form (uncorrected) = -3.42 eV per atom

a = 22.543 Å, b = 22.543 Å, c = 22.543 Å
α = 9.81°, β = 9.81°, γ = 9.81°
Atoms (fractional coordinates):
Ce1 0.000 0.000 0.000
Ce2 0.141 0.141 0.141
Ce3 0.286 0.286 0.286
Ce4 0.427 0.427 0.427
Ce5 0.714 0.714 0.714
Sm1 0.574 0.574 0.574
Sm2 0.856 0.856 0.856
O1 0.036 0.036 0.036
O2 0.107 0.107 0.107
O3 0.182 0.182 0.182
O4 0.252 0.252 0.252
O5 0.322 0.322 0.322
O6 0.393 0.393 0.393
O7 0.463 0.463 0.463
O8 0.609 0.609 0.609
O9 0.679 0.679 0.679
O10 0.750 0.750 0.750
O11 0.820 0.820 0.820
O12 0.888 0.888 0.888
O13 0.966 0.966 0.966

=====

Here is Ce2SmO after structural relaxation from the Alexandria database. Energies are from PBE-GGA.

Calculated values
SG = No. 166
ρ = 7.5 g/cm³
Total DFT energy (no corrections) = -26.5 eV for the cell shown
E_form (uncorrected) = -1.24 eV per atom

a = 9.092 Å, b = 9.092 Å, c = 9.092 Å
α = 22.75°, β = 22.75°, γ = 22.75°
Atoms (fractional coordinates):
Ce1 0.219 0.219 0.219
Ce2 0.781 0.781 0.781
Sm1 0.000 0.000 0.000
O1 0.500 0.500 0.500

=====

Here is CeSm6O12 after structural relaxation from the Alexandria database. Energies are from PBE-GGA.

Calculated values
SG = No. 148
ρ = 6.9 g/cm³
Total DFT energy (no corrections) = -154.8 eV for the cell shown
E_form (uncorrected) = -3.21 eV per atom

a = 6.770 Å, b = 6.770 Å, c = 6.770 Å
α = 99.47°, β = 99.47°, γ = 99.47°
Atoms (fractional coordinates):
Ce1 0.000 0.000 0.000
Sm1 0.138 0.608 0.297
Sm2 0.297 0.138 0.608
Sm3 0.392 0.703 0.862
Sm4 0.608 0.297 0.138
Sm5 0.703 0.862 0.392
Sm6 0.862 0.392 0.703
O1 0.064 0.683 0.936
O2 0.064 0.936 0.317
O3 0.178 0.439 0.580
O4 0.317 0.064 0.936
O5 0.420 0.822 0.561
O6 0.439 0.580 0.178
O7 0.561 0.420 0.822
O8 0.580 0.178 0.439
O9 0.683 0.936 0.064
O10 0.822 0.561 0.420
O11 0.936 0.064 0.683
O12 0.936 0.317 0.064

=====

Here is CeSm2O after structural relaxation from the Alexandria database. Energies are from PBE-GGA.

Calculated values
Energy above the most stable polymorph in this dataset = 0.000 eV per atom
SG = No. 166
ρ = 7.6 g/cm³
Total DFT energy (no corrections) = -24.8 eV for the cell shown
E_form (uncorrected) = -1.12 eV per atom

a = 9.715 Å, b = 9.715 Å, c = 9.715 Å
α = 20.68°, β = 20.68°, γ = 20.68°
Atoms (fractional coordinates):
Ce1 0.000 0.000 0.000
Sm1 0.117 0.117 0.117
Sm2 0.883 0.883 0.883
O1 0.500 0.500 0.500

=====

Here is Ce6SmO12 after structural relaxation from the Alexandria database. Energies are from PBE-GGA.

Calculated values
SG = No. 148
ρ = 6.6 g/cm³
Total DFT energy (no corrections) = -165.7 eV for the cell shown
E_form (uncorrected) = -3.47 eV per atom

a = 6.780 Å, b = 6.780 Å, c = 6.780 Å
α = 99.71°, β = 99.71°, γ = 99.71°
Atoms (fractional coordinates):
Ce1 0.101 0.637 0.798
Ce2 0.202 0.899 0.363
Ce3 0.363 0.202 0.899
Ce4 0.637 0.798 0.101
Ce5 0.798 0.101 0.637
Ce6 0.899 0.363 0.202
Sm1 0.500 0.500 0.500
O1 0.068 0.322 0.919
O2 0.081 0.932 0.678
O3 0.175 0.574 0.428
O4 0.322 0.919 0.068
O5 0.426 0.572 0.825
O6 0.428 0.175 0.574
O7 0.572 0.825 0.426
O8 0.574 0.428 0.175
O9 0.678 0.081 0.932
O10 0.825 0.426 0.572
O11 0.919 0.068 0.322
O12 0.932 0.678 0.081

=====

Here is Ce2Sm2O7 after structural relaxation from the Alexandria database. Energies are from PBE-GGA.

Calculated values
SG = No. 227
ρ = 6.8 g/cm³
Total DFT energy (no corrections) = -186.2 eV for the cell shown
E_form (uncorrected) = -3.37 eV per atom

a = 7.808 Å, b = 7.808 Å, c = 7.808 Å
α = 60.00°, β = 60.00°, γ = 60.00°
Atoms (fractional coordinates):
Ce1 0.000 0.000 0.000
Ce2 0.000 0.000 0.500
Ce3 0.000 0.500 0.000
Ce4 0.500 0.000 0.000
Sm1 0.000 0.500 0.500
Sm2 0.500 0.000 0.500
Sm3 0.500 0.500 0.000
Sm4 0.500 0.500 0.500
O1 0.099 0.099 0.651
O2 0.099 0.651 0.099
O3 0.099 0.651 0.651
O4 0.349 0.349 0.901
O5 0.349 0.901 0.349
O6 0.349 0.901 0.901
O7 0.375 0.375 0.375
O8 0.625 0.625 0.625
O9 0.651 0.099 0.099
O10 0.651 0.099 0.651
O11 0.651 0.651 0.099
O12 0.901 0.349 0.349
O13 0.901 0.349 0.901
O14 0.901 0.901 0.349

=====

Here is CeSm2O after structural relaxation from the Alexandria database. Energies are from PBE-GGA.

Calculated values
Energy above the most stable polymorph in this dataset = 0.321 eV per atom
SG = No. 123
ρ = 8.5 g/cm³
Total DFT energy (no corrections) = -23.5 eV for the cell shown
E_form (uncorrected) = -0.80 eV per atom

a = 3.188 Å, b = 3.188 Å, c = 8.812 Å
α = 90.00°, β = 90.00°, γ = 90.00°
Atoms (fractional coordinates):
Ce1 0.000 0.000 0.000
Sm1 0.500 0.500 0.323
Sm2 0.500 0.500 0.677
O1 0.000 0.000 0.500

=====

Here is CeSm3O after structural relaxation from the Alexandria database. Energies are from PBE-GGA.

Calculated values
SG = No. 221
ρ = 7.9 g/cm³
Total DFT energy (no corrections) = -30.1 eV for the cell shown
E_form (uncorrected) = -1.00 eV per atom

a = 5.025 Å, b = 5.025 Å, c = 5.025 Å
α = 90.00°, β = 90.00°, γ = 90.00°
Atoms (fractional coordinates):
Ce1 0.000 0.000 0.000
Sm1 0.000 0.500 0.500
Sm2 0.500 0.000 0.500
Sm3 0.500 0.500 0.000
O1 0.500 0.500 0.500

=====

Here is CeSmTeO6 after structural relaxation from the Alexandria database. Energies are from PBE-GGA.

Calculated values
SG = No. 163
ρ = 6.3 g/cm³
Total DFT energy (no corrections) = -129.7 eV for the cell shown
E_form (uncorrected) = -2.37 eV per atom

a = 5.704 Å, b = 5.704 Å, c = 9.664 Å
α = 90.00°, β = 90.00°, γ = 120.00°
Atoms (fractional coordinates):
Ce1 0.000 0.000 0.000
Ce2 0.000 0.000 0.500
Sm1 0.333 0.667 0.250
Sm2 0.667 0.333 0.750
Te1 0.333 0.667 0.750
Te2 0.667 0.333 0.250
O1 0.046 0.371 0.635
O2 0.046 0.675 0.865
O3 0.325 0.371 0.865
O4 0.325 0.954 0.635
O5 0.371 0.046 0.135
O6 0.371 0.325 0.365
O7 0.629 0.675 0.635
O8 0.629 0.954 0.865
O9 0.675 0.046 0.365
O10 0.675 0.629 0.135
O11 0.954 0.325 0.135
O12 0.954 0.629 0.365

=====

Here is CeSm2TlO after structural relaxation from the Alexandria database. Energies are from PBE-GGA.

Calculated values
SG = No. 123
ρ = 9.2 g/cm³
Total DFT energy (no corrections) = -29.2 eV for the cell shown
E_form (uncorrected) = -1.30 eV per atom

a = 4.949 Å, b = 4.949 Å, c = 4.871 Å
α = 90.00°, β = 90.00°, γ = 90.00°
Atoms (fractional coordinates):
Ce1 0.000 0.000 0.000
Sm1 0.000 0.500 0.500
Sm2 0.500 0.000 0.500
Tl1 0.500 0.500 0.000
O1 0.000 0.000 0.500

=====

Here is CeSm2UO8 after structural relaxation from the Alexandria database. Energies are from PBE-GGA.

Calculated values
SG = No. 10
ρ = 8.3 g/cm³
Total DFT energy (no corrections) = -107.2 eV for the cell shown
E_form (uncorrected) = -3.41 eV per atom

a = 3.844 Å, b = 7.656 Å, c = 5.477 Å
α = 90.00°, β = 90.25°, γ = 90.00°
Atoms (fractional coordinates):
Ce1 0.000 0.000 0.000
Sm1 0.500 0.251 0.500
Sm2 0.500 0.749 0.500
U1 0.000 0.500 0.000
O1 0.002 0.270 0.766
O2 0.002 0.730 0.766
O3 0.497 0.500 0.226
O4 0.499 0.000 0.243
O5 0.501 0.000 0.757
O6 0.503 0.500 0.774
O7 0.998 0.270 0.234
O8 0.998 0.730 0.234